Entry 1:
Compound: RbMg2
Source: Alexandria via LeMat-Bulk
Functional: meta-GGA SCAN
Structure: PBEsol geometry

Lattice parameters (Å, degrees): 3.5492 26.9177 4.9453 90.00 90.00 90.00
Fractional positions:
Rb 0.0000 0.1722 0.2500
Rb 0.0000 0.8278 0.7500
Rb 0.5000 0.3278 0.7500
Rb 0.5000 0.6722 0.2500
Mg 0.0000 0.0590 0.7500
Mg 0.0000 0.4610 0.7500
Mg 0.0000 0.5390 0.2500
Mg 0.0000 0.9410 0.2500
Mg 0.5000 0.0390 0.2500
Mg 0.5000 0.4410 0.2500
Mg 0.5000 0.5590 0.7500
Mg 0.5000 0.9610 0.7500

Output
Total DFT energy (no corrections) in eV per atom: -10.0671
Magnetic moment in μB/atom: 0.032
Formation energy from the elements in eV per atom: 0.162

***

Entry 2:
Compound: Rb7Mg
Source: Alexandria via LeMat-Bulk
Functional: meta-GGA SCAN
Structure: PBEsol geometry

Lattice parameters (Å, degrees): 9.4151 9.4151 9.4151 60.00 60.00 60.00
Fractional positions:
Rb 0.0000 0.0000 0.0000
Rb 0.0000 0.0000 0.5000
Rb 0.0000 0.5000 0.0000
Rb 0.0000 0.5000 0.5000
Rb 0.5000 0.0000 0.0000
Rb 0.5000 0.0000 0.5000
Rb 0.5000 0.5000 0.0000
Mg 0.5000 0.5000 0.5000

Output
Total DFT energy (no corrections) in eV per atom: -18.6403
Magnetic moment in μB/atom: 0.012
Formation energy from the elements in eV per atom: 0.128

***

Entry 3:
Compound: RbMg3
Source: Alexandria via LeMat-Bulk
Functional: meta-GGA SCAN
Structure: PBEsol geometry

Lattice parameters (Å, degrees): 3.2325 4.7002 8.2888 90.00 94.23 90.00
Fractional positions:
Rb 0.0000 0.0000 0.0000
Mg 0.0000 0.0000 0.5000
Mg 0.4976 0.5000 0.3178
Mg 0.5024 0.5000 0.6822

Output
Excess energy over the best structure of this formula in the dataset in kJ per mole of atoms: 0.0
Total DFT energy (no corrections) in eV per atom: -8.7106
Magnetic moment in μB/atom: 0.060
Formation energy from the elements in eV per atom: 0.204